[1]
DFT (GGA-PBE) results for an optimized crystal structure of Zn2PtSe.

The density of states at the Fermi level comes out at 1.32 states/eV per cell.

It has space group P4/mmm (No. 123), with a = 3.4186 Å, b = 3.4186 Å, c = 5.5892 Å, α = 90.00°, β = 90.00° and γ = 90.00°. The distinct sites, in fractional coordinates, are Zn at (0.0000, 0.0000, 0.2335), Pt at (0.5000, 0.5000, 0.0000) and Se at (0.5000, 0.5000, 0.5000).

[2]
DFT (GGA-PBE) results for an optimized crystal structure of ZnPt2Se.

The density of states at the Fermi level comes out at 2.09 states/eV per cell.

It has space group P2/m (No. 10), with a = 3.9266 Å, b = 4.4271 Å, c = 3.9660 Å, α = 90.00°, β = 90.41° and γ = 90.00°. The distinct sites, in fractional coordinates, are Zn at (0.0000, 0.0000, 0.0000), Pt at (0.2474, 0.5000, 0.7530) and Se at (0.5000, 0.0000, 0.5000).

[3]
DFT (GGA-PBE) results for an optimized crystal structure of ZnPtSe3.

The density of states at the Fermi level comes out at 7.11 states/eV per cell. For the offset from the most stable computed form, the calculation gives 386 meV per atom.

It has space group Pm-3m (No. 221), with a = 4.8139 Å, b = 4.8139 Å, c = 4.8139 Å, α = 90.00°, β = 90.00° and γ = 90.00°. The distinct sites, in fractional coordinates, are Zn at (0.0000, 0.0000, 0.0000), Pt at (0.5000, 0.5000, 0.5000) and Se at (0.0000, 0.0000, 0.5000).

no.,raw formation energy (eV/atom),VASP energy (Ry/atom)
1,-0.176,-0.235
2,-0.100,-0.317
3,0.875,-0.197